First-principles (PBE) data for crystalline Tl2As2PdO6 at its relaxed geometry, as listed in Alexandria.

It has space group R-3m (No. 166, hexagonal axes), with a = 5.9711 Å, b = 5.9711 Å, c = 18.2037 Å, α = 90.00°, β = 90.00° and γ = 120.00°. The asymmetric unit holds Tl at (0.0000, 0.0000, 0.2134), As at (0.0000, 0.0000, 0.4287), Pd at (0.0000, 0.0000, 0.0000) and O at (0.0057, 0.5028, 0.2577).

The calculation puts the total energy at -5.223 eV/atom. As for the crystal system: trigonal. The calculation puts the raw formation energy at -0.77 eV/atom.


First-principles (PBE) data for crystalline TiBeO3 at its relaxed geometry, as listed in Alexandria.

It has space group Pm-3m (No. 221), with a = 3.775 Å, b = 3.775 Å, c = 3.775 Å, α = 90.00°, β = 90.00° and γ = 90.00°. The asymmetric unit holds Ti at (0.000, 0.000, 0.000), Be at (0.500, 0.500, 0.500) and O at (0.000, 0.000, 0.500).

The calculation puts the total energy at -6.872 eV/atom. As for the crystal system: cubic. The calculation puts the raw formation energy at -1.57 eV/atom.


First-principles (PBE) data for crystalline Ba2Ge2Bi at its relaxed geometry, as listed in Alexandria.

It has space group I4/mmm (No. 139), with a = 6.618 Å, b = 6.618 Å, c = 8.350 Å, α = 90.00°, β = 90.00° and γ = 90.00°. The asymmetric unit holds Ba at (0.000, 0.500, 0.250), Ge at (0.000, 0.000, 0.141) and Bi at (0.000, 0.000, 0.500).

The calculation puts the total energy at -3.764 eV/atom. As for the crystal system: tetragonal.


What is the formula in the second record?
TiBeO3


What did the second record say?
First-principles (PBE) data for crystalline TiBeO3 at its relaxed geometry, as listed in Alexandria.

It has space group Pm-3m (No. 221), with a = 3.775 Å, b = 3.775 Å, c = 3.775 Å, α = 90.00°, β = 90.00° and γ = 90.00°. The asymmetric unit holds Ti at (0.000, 0.000, 0.000), Be at (0.500, 0.500, 0.500) and O at (0.000, 0.000, 0.500).

The calculation puts the total energy at -6.872 eV/atom. As for the crystal system: cubic. The calculation puts the raw formation energy at -1.57 eV/atom.